Material: PuTh2Tl
Method: DFT, PBE
State: relaxed

The mass density comes out at 13.2 Mg/m³. For the energy above the most stable polymorph in this dataset, the calculation gives 94 meV/atom.

The structure belongs to space group Fm-3m (No. 225); the cell edges are 7.7178, 7.7178 and 7.7178 Å and the angles 90.00°, 90.00° and 90.00°. Symmetry generates all atoms from Pu at (0.0000, 0.0000, 0.0000), Th at (0.2500, 0.2500, 0.2500) and Tl at (0.0000, 0.0000, 0.5000).